1.
Density functional theory data (GGA-PBEsol) for crystalline ScIn2Te at its relaxed geometry.

The volume comes out at 23.75 Å³ per atom. Its space group is I-4m2, No. 119. The value obtained for the density is 7.03 Mg/m³.

The structure in extended XYZ format:
```
4
Lattice="-2.279 2.279 4.573 2.279 -2.279 4.573 2.279 2.279 -4.573" Properties=species:S:1:pos:R:3 pbc="T T T"
Sc 0.000 0.000 0.000
In 2.279 0.000 2.287
In 0.000 0.000 4.573
Te 0.000 2.279 2.287
```

2.
Density functional theory data (GGA-PBEsol) for crystalline ScInTe at its relaxed geometry.

The volume comes out at 23.89 Å³ per atom. Its space group is I4mm, No. 107. The value obtained for the density is 6.66 Mg/m³.

The structure in extended XYZ format:
```
3
Lattice="-1.840 1.840 5.292 1.840 -1.840 5.292 1.840 1.840 -5.292" Properties=species:S:1:pos:R:3 pbc="T T T"
Sc 0.000 0.000 0.000
In 0.000 0.000 7.122
Te 0.000 0.000 3.920
```

3.
Density functional theory data (GGA-PBEsol) for crystalline ScIn2Te at its relaxed geometry.

The volume comes out at 25.98 Å³ per atom. Its space group is Cmmm, No. 65. The value obtained for the density is 6.43 Mg/m³.

The structure in extended XYZ format:
```
4
Lattice="2.892 -2.921 0.000 2.892 2.921 0.000 0.000 0.000 6.152" Properties=species:S:1:pos:R:3 pbc="T T T"
Sc 0.000 0.000 0.000
In 1.419 0.000 3.076
In 4.364 0.000 3.076
Te 2.892 0.000 0.000
```

4.
Density functional theory data (GGA-PBEsol) for crystalline ScTiIn2W at its relaxed geometry.

The calculated formation energy is 1512 meV per atom. The volume comes out at 23.56 Å³ per atom. Its space group is P4/mmm, No. 123. The value obtained for the density is 7.14 Mg/m³.

The structure in extended XYZ format:
```
5
Lattice="5.130 0.000 0.000 0.000 5.130 0.000 0.000 0.000 4.476" Properties=species:S:1:pos:R:3 pbc="T T T"
Sc 0.000 0.000 0.000
Ti 2.565 2.565 2.238
In 0.000 2.565 0.000
In 2.565 0.000 0.000
W 0.000 0.000 2.238
```

5.
Density functional theory data (GGA-PBEsol) for crystalline Sc2TlIn at its relaxed geometry.

The calculated formation energy is -409 meV per atom. The volume comes out at 21.86 Å³ per atom. Its space group is Pmm2, No. 25. The value obtained for the density is 7.77 Mg/m³.

The structure in extended XYZ format:
```
4
Lattice="3.525 0.000 0.000 0.000 4.981 0.000 0.000 0.000 4.980" Properties=species:S:1:pos:R:3 pbc="T T T"
Sc 0.000 0.000 0.000
Sc 0.000 2.491 2.485
Tl 1.762 2.491 4.975
In 1.762 0.000 2.490
```

6.
Density functional theory data (GGA-PBEsol) for crystalline ScTlIn2 at its relaxed geometry.

The calculated formation energy is -53 meV per atom. The volume comes out at 23.93 Å³ per atom. Its space group is F-43m, No. 216. The value obtained for the density is 8.31 Mg/m³.

The structure in extended XYZ format:
```
4
Lattice="0.000 3.631 3.631 3.631 0.000 3.631 3.631 3.631 0.000" Properties=species:S:1:pos:R:3 pbc="T T T"
Sc 0.000 0.000 0.000
Tl 5.446 5.446 5.446
In 1.815 1.815 1.815
In 3.631 3.631 3.631
```

7.
Density functional theory data (GGA-PBEsol) for crystalline Sc2TlIn at its relaxed geometry.

The calculated formation energy is -407 meV per atom. The volume comes out at 21.87 Å³ per atom. Its space group is Fm-3m, No. 225. The value obtained for the density is 7.77 Mg/m³.

The structure in extended XYZ format:
```
4
Lattice="0.000 3.523 3.523 3.523 0.000 3.523 3.523 3.523 0.000" Properties=species:S:1:pos:R:3 pbc="T T T"
Sc 1.762 1.762 1.762
Sc 5.285 5.285 5.285
Tl 0.000 0.000 0.000
In 3.523 3.523 3.523
```

8.
Density functional theory data (GGA-PBEsol) for crystalline ScTlIn2 at its relaxed geometry.

The calculated formation energy is -287 meV per atom. The volume comes out at 22.57 Å³ per atom. Its space group is P4/mmm, No. 123. The value obtained for the density is 8.81 Mg/m³.

The structure in extended XYZ format:
```
4
Lattice="4.464 0.000 0.000 0.000 4.464 0.000 0.000 0.000 4.530" Properties=species:S:1:pos:R:3 pbc="T T T"
Sc 0.000 0.000 0.000
Tl 2.232 2.232 0.000
In 0.000 2.232 2.265
In 2.232 0.000 2.265
```

9.
Density functional theory data (GGA-PBEsol) for crystalline Sc2TlIn at its relaxed geometry.

The calculated formation energy is -425 meV per atom. The volume comes out at 21.74 Å³ per atom. Its space group is Pmmm, No. 47. The value obtained for the density is 7.81 Mg/m³.

The structure in extended XYZ format:
```
4
Lattice="3.212 0.000 0.000 0.000 4.251 0.000 0.000 0.000 6.368" Properties=species:S:1:pos:R:3 pbc="T T T"
Sc 0.000 0.000 1.586
Sc 0.000 0.000 4.782
Tl 1.606 2.126 3.184
In 1.606 2.126 0.000
```

10.
Density functional theory data (GGA-PBEsol) for crystalline ScTlIn2 at its relaxed geometry.

The calculated formation energy is -271 meV per atom. The volume comes out at 22.76 Å³ per atom. Its space group is I4/mmm, No. 139. The value obtained for the density is 8.74 Mg/m³.

The structure in extended XYZ format:
```
4
Lattice="-2.152 2.152 4.913 2.152 -2.152 4.913 2.152 2.152 -4.913" Properties=species:S:1:pos:R:3 pbc="T T T"
Sc 0.000 0.000 0.000
Tl 0.000 0.000 4.913
In 2.152 0.000 2.457
In 0.000 2.152 2.457
```

11.
Density functional theory data (GGA-PBEsol) for crystalline Sc2TlIn at its relaxed geometry.

The calculated formation energy is -362 meV per atom. The volume comes out at 22.42 Å³ per atom. Its space group is Imm2, No. 44. The value obtained for the density is 7.57 Mg/m³.

The structure in extended XYZ format:
```
4
Lattice="-1.823 2.366 5.198 1.823 -2.366 5.198 1.823 2.366 -5.198" Properties=species:S:1:pos:R:3 pbc="T T T"
Sc 0.000 0.000 0.000
Sc 0.000 2.366 2.570
Tl 1.823 0.000 2.638
In 0.000 0.000 5.092
```

12.
Density functional theory data (GGA-PBEsol) for crystalline Sc2TlIn at its relaxed geometry.

The calculated formation energy is -426 meV per atom. The volume comes out at 21.77 Å³ per atom. Its space group is P4/mmm, No. 123. The value obtained for the density is 7.80 Mg/m³.

The structure in extended XYZ format:
```
4
Lattice="3.213 0.000 0.000 0.000 3.213 0.000 0.000 0.000 8.438" Properties=species:S:1:pos:R:3 pbc="T T T"
Sc 0.000 0.000 2.102
Sc 0.000 0.000 6.336
Tl 1.606 1.606 4.219
In 1.606 1.606 0.000
```

How do the records compare in E_tot? In the order shown, they have -17.51, -14.95, -17.48, -27.14, -20.46, -15.41, -20.45, -16.35, -20.52, -16.29, -20.27, -20.53 eV per formula unit.